This record from Alexandria via LeMat-Bulk describes a relaxed structure of Li4Hg3Pd4. The functional is PBE.

formation enthalpy at 0 K = -296 kJ/mol of formula units
crystal system = orthorhombic

abc: 9.160 9.160 9.160
angles: 161.08 128.21 55.63
Element x y z (fractional)
Li (0.043, 0.839, 0.204)
Li (0.365, 0.161, 0.204)
Li (0.635, 0.839, 0.796)
Li (0.957, 0.161, 0.796)
Hg (0.000, 0.500, 0.500)
Hg (0.391, 0.391, 0.000)
Hg (0.609, 0.609, 0.000)
Pd (0.247, 0.747, 0.500)
Pd (0.294, 0.000, 0.294)
Pd (0.706, 0.000, 0.706)
Pd (0.753, 0.253, 0.500)